## one
## KSe2Cl (PBE-GGA)

Data for an optimized crystal structure of KSe2Cl.

Calculated values
- symmetry = Pmmm, No. 47
- D(E_F) (states/eV per atom) = 0.640

```
KSe2Cl
1.0
3.676 0.000 0.000
0.000 5.179 0.000
0.000 0.000 6.514
K Se Cl
1 2 1
Direct
0.000 0.000 0.000
0.500 0.214 0.500
0.500 0.786 0.500
0.500 0.500 0.000
```

## two
## KSe2Cl (PBE-GGA)

Data for an optimized crystal structure of KSe2Cl.

Calculated values
- symmetry = Cmmm, No. 65
- D(E_F) (states/eV per atom) = 0.651

```
KSe2Cl
1.0
2.031 -2.045 0.000
2.031 2.045 0.000
0.000 0.000 12.804
K Se Cl
1 2 1
Direct
0.000 0.000 0.000
0.500 0.500 0.202
0.500 0.500 0.798
0.000 0.000 0.500
```

Stability, highest: one

## one
## ScTlP2O (PBE-GGA)

Data for an optimized crystal structure of ScTlP2O.

Calculated values
- symmetry = P4/mmm, No. 123
- D(E_F) (states/eV per atom) = 0.840

```
ScTlP2O
1.0
5.299 0.000 0.000
0.000 5.299 0.000
0.000 0.000 3.865
Sc Tl P O
1 1 2 1
Direct
0.000 0.000 0.000
0.500 0.500 0.500
0.000 0.500 0.000
0.500 0.000 0.000
0.000 0.000 0.500
```

## two
## ScTlP2O (PBE-GGA)

Data for an optimized crystal structure of ScTlP2O.

Calculated values
- symmetry = P4/mmm, No. 123
- D(E_F) (states/eV per atom) = 1.001

```
ScTlP2O
1.0
5.076 0.000 0.000
0.000 5.076 0.000
0.000 0.000 4.128
Sc Tl P O
1 1 2 1
Direct
0.000 0.000 0.000
0.500 0.500 0.500
0.000 0.500 0.500
0.500 0.000 0.500
0.500 0.500 0.000
```

Stability, highest: one

## one
## LiZr2Br (PBE-GGA)

Data for an optimized crystal structure of LiZr2Br.

Calculated values
- symmetry = Cm, No. 8
- D(E_F) (states/eV per atom) = 0.589

```
LiZr2Br
1.0
5.264 -1.624 0.000
5.264 1.624 0.000
-2.511 0.000 4.905
Li Zr Br
1 2 1
Direct
0.000 0.000 0.000
0.553 0.553 0.547
0.776 0.776 0.214
0.306 0.306 0.660
```

## two
## LiZr2Br (PBE-GGA)

Data for an optimized crystal structure of LiZr2Br.

Calculated values
- symmetry = F-43m, No. 216
- D(E_F) (states/eV per atom) = 1.366

```
LiZr2Br
1.0
0.000 3.533 3.533
3.533 0.000 3.533
3.533 3.533 0.000
Li Zr Br
1 2 1
Direct
0.000 0.000 0.000
0.250 0.250 0.250
0.500 0.500 0.500
0.750 0.750 0.750
```

Stability, highest: one

## one
## La2YSc (PBE-GGA)

Data for an optimized crystal structure of La2YSc.

Calculated values
- symmetry = I4/mmm, No. 139
- D(E_F) (states/eV per atom) = 1.506

```
La2YSc
1.0
-2.601 2.601 4.797
2.601 -2.601 4.797
2.601 2.601 -4.797
La Y Sc
2 1 1
Direct
0.250 0.750 0.500
0.750 0.250 0.500
0.000 0.000 0.000
0.500 0.500 0.000
```

## two
## La2YSc (PBE-GGA)

Data for an optimized crystal structure of La2YSc.

Calculated values
- symmetry = Pmmm, No. 47
- D(E_F) (states/eV per atom) = 2.442

```
La2YSc
1.0
3.720 0.000 0.000
0.000 5.847 0.000
0.000 0.000 5.948
La Y Sc
2 1 1
Direct
0.000 0.000 0.000
0.500 0.500 0.000
0.000 0.500 0.500
0.500 0.000 0.500
```

Stability, highest: one

## one
## BC2 (PBE-GGA)

Data for an optimized crystal structure of BC2.

Calculated values
- symmetry = Cm, No. 8
- D(E_F) (states/eV per atom) = 0.097

```
BC2
1.0
4.375 -1.301 0.000
4.375 1.301 0.000
-3.632 0.000 6.863
B C
4 8
Direct
0.000 0.000 0.000
0.308 0.308 0.682
0.538 0.538 0.612
0.677 0.677 0.320
0.011 0.011 0.481
0.168 0.168 0.961
0.176 0.176 0.457
0.339 0.339 0.162
0.496 0.496 0.129
0.662 0.662 0.847
0.819 0.819 0.794
0.844 0.844 0.283
```

## two
## BC2 (PBE-GGA)

Data for an optimized crystal structure of BC2.

Calculated values
- symmetry = C222, No. 21
- D(E_F) (states/eV per atom) = 0.284

```
BC2
1.0
1.805 -5.508 0.000
1.805 5.508 0.000
0.000 0.000 3.855
B C
4 8
Direct
0.000 0.000 0.000
0.167 0.833 0.500
0.500 0.500 0.500
0.833 0.167 0.500
0.000 0.500 0.773
0.167 0.346 0.234
0.332 0.668 0.000
0.346 0.167 0.766
0.500 0.000 0.227
0.654 0.833 0.766
0.668 0.332 0.000
0.833 0.654 0.234
```

Stability, highest: two

## one
## TlC3 (PBE-GGA)

Data for an optimized crystal structure of TlC3.

Calculated values
- symmetry = Pm-3m, No. 221
- D(E_F) (states/eV per atom) = 1.022

```
TlC3
1.0
4.678 0.000 0.000
0.000 4.678 0.000
0.000 0.000 4.678
Tl C
1 3
Direct
0.000 0.000 0.000
0.000 0.000 0.500
0.000 0.500 0.000
0.500 0.000 0.000
```

## two
## TlC3 (PBE-GGA)

Data for an optimized crystal structure of TlC3.

Calculated values
- symmetry = Pm-3n, No. 223
- D(E_F) (states/eV per atom) = 0.492

```
TlC3
1.0
4.603 0.000 0.000
0.000 4.603 0.000
0.000 0.000 4.603
Tl C
2 6
Direct
0.000 0.000 0.000
0.500 0.500 0.500
0.000 0.250 0.500
0.000 0.750 0.500
0.250 0.500 0.000
0.500 0.000 0.250
0.500 0.000 0.750
0.750 0.500 0.000
```

Stability, highest: two

## one
## B2C (PBE-GGA)

Data for an optimized crystal structure of B2C.

Calculated values
- symmetry = Cm, No. 8
- D(E_F) (states/eV per atom) = 0.143

```
B2C
1.0
6.488 -1.330 0.000
6.488 1.330 0.000
-0.980 0.000 4.908
B C
8 4
Direct
0.000 0.000 0.000
0.002 0.002 0.591
0.151 0.151 0.564
0.373 0.373 0.747
0.665 0.665 0.965
0.692 0.692 0.391
0.769 0.769 0.745
0.791 0.791 0.168
0.103 0.103 0.854
0.370 0.370 0.233
0.436 0.436 0.512
0.446 0.446 0.043
```

## two
## B2C (PBE-GGA)

Data for an optimized crystal structure of B2C.

Calculated values
- symmetry = Pm, No. 6
- D(E_F) (states/eV per atom) = 0.198

```
B2C
1.0
4.119 0.000 0.000
0.000 2.544 0.000
-0.889 0.000 8.293
B C
8 4
Direct
0.000 0.000 0.000
0.030 0.000 0.618
0.129 0.000 0.272
0.322 0.000 0.496
0.363 0.000 0.757
0.586 0.500 0.437
0.742 0.500 0.651
0.798 0.500 0.279
0.333 0.000 0.113
0.551 0.500 0.114
0.558 0.500 0.808
0.768 0.500 0.966
```

Stability, highest: one